The following is a PBE calculation of an optimized crystal structure of Ac2Ag5Hg4, from Alexandria via LeMat-Bulk.

Calculated values
Energy relative to the elements = -0.17 eV/atom
Crystal system = orthorhombic

The structure in CIF format:
```
data_Ac2Ag5Hg4
_symmetry_space_group_name_H-M 'I m m m'
_symmetry_Int_Tables_number 71
_symmetry_space_group_name_Hall '-I 2 2'
_cell_length_a 5.989
_cell_length_b 9.483
_cell_length_c 9.937
_cell_angle_alpha 90.00
_cell_angle_beta 90.00
_cell_angle_gamma 90.00
loop_
_atom_site_label
_atom_site_fract_x
_atom_site_fract_y
_atom_site_fract_z
Ac1 0.000 0.248 0.000
Ag1 0.000 0.500 0.500
Ag2 0.246 0.500 0.242
Hg1 0.000 0.243 0.341
```